(1)
A geometry-optimized LaTbIn structure, computed with GGA-PBE.

Magnetization: 0.00 μB/atom
ΔE_f: -347 meV per atom
Energy relative to the lowest polymorph listed for this composition: 0.000 eV/atom

Cell lengths 5.5493, 5.5493, 6.8537 Å; angles 90.00, 90.00, 119.99 degrees
Positions (direct):
La (0.0000, 0.5000, 0.0000)
Tb (0.6666, 0.8334, 0.7500)
La (0.0000, 0.5000, 0.5000)
In (0.3332, 0.1668, 0.7500)
Tb (0.3334, 0.1666, 0.2500)
In (0.6668, 0.8332, 0.2500)

***

(2)
A geometry-optimized Ce2ZnPt5Rh2 structure, computed with GGA-PBE.

Magnetization: 0.00 μB/atom
ΔE_f: -756 meV per atom

Cell lengths 4.2062, 9.2656, 9.2656 Å; angles 90.00, 90.00, 90.00 degrees
Positions (direct):
Rh (0.0000, 0.6305, 0.8695)
Pt (0.5000, 0.0573, 0.7985)
Rh (0.0000, 0.8695, 0.3695)
Ce (0.0000, 0.6754, 0.1754)
Rh (0.0000, 0.1305, 0.6305)
Rh (0.0000, 0.3695, 0.1305)
Pt (0.5000, 0.5000, 0.0000)
Pt (0.5000, 0.0000, 0.5000)
Pt (0.5000, 0.7015, 0.4427)
Pt (0.5000, 0.2015, 0.0573)
Zn (0.0000, 0.5000, 0.5000)
Ce (0.0000, 0.8246, 0.6754)
Pt (0.5000, 0.7985, 0.9427)
Pt (0.5000, 0.9427, 0.2015)
Pt (0.5000, 0.2985, 0.5573)
Ce (0.0000, 0.3246, 0.8246)
Pt (0.5000, 0.5573, 0.7015)
Pt (0.5000, 0.4427, 0.2985)
Ce (0.0000, 0.1754, 0.3246)
Zn (0.0000, 0.0000, 0.0000)

***

(3)
A geometry-optimized BaTa2As structure, computed with GGA-PBE.

Magnetization: 0.00 μB/atom
ΔE_f: 555 meV per atom

Cell lengths 5.0287, 5.0287, 10.1106 Å; angles 75.60, 75.60, 90.00 degrees
Positions (direct):
Ta (0.3750, 0.6250, 0.7500)
As (0.5000, 0.5000, 0.0000)
Ba (0.7500, 0.2500, 0.5000)
Ta (0.3750, 0.6250, 0.2500)
Ta (0.8750, 0.6250, 0.7500)
Ta (0.3750, 0.1250, 0.2500)
As (0.2500, 0.7500, 0.5000)
Ba (0.0000, 0.0000, 0.0000)

***

(4)
A geometry-optimized Li2MgTa structure, computed with GGA-PBE.

Magnetization: 0.00 μB/atom
ΔE_f: 199 meV per atom

Cell lengths 10.4444, 10.4444, 10.4444 Å; angles 15.90, 15.90, 15.90 degrees
Positions (direct):
Li (0.4983, 0.4983, 0.4983)
Ta (0.7500, 0.7500, 0.7500)
Li (0.0017, 0.0017, 0.0017)
Mg (0.2500, 0.2500, 0.2500)

***

(5)
A geometry-optimized PmSm6Tl5 structure, computed with GGA-PBE.

Magnetization: 0.00 μB/atom
ΔE_f: -170 meV per atom
Energy relative to the lowest polymorph listed for this composition: 0.126 eV/atom

Cell lengths 10.7939, 6.3230, 6.3629 Å; angles 60.21, 84.29, 78.44 degrees
Positions (direct):
Tl (0.0000, 0.3279, 0.3442)
Sm (0.2606, 0.5585, 0.3551)
Tl (0.5000, 0.8433, 0.3134)
Pm (0.0000, 0.0000, 0.0000)
Sm (0.7394, 0.4415, 0.6449)
Sm (0.2509, 0.2736, 0.0000)
Tl (0.0000, 0.6721, 0.6558)
Sm (0.7491, 0.7264, 0.0000)
Tl (0.5000, 0.5000, 0.0000)
Tl (0.5000, 0.1567, 0.6866)
Sm (0.7394, 0.0864, 0.3551)
Sm (0.2606, 0.9136, 0.6449)

***

(6)
A geometry-optimized AsIrBr2 structure, computed with GGA-PBE.

Uncorrected formation energy: 0.85 eV per atom
Magnetization: 0.00 μB/atom
Energy relative to the lowest polymorph listed for this composition: 1.155 eV/atom

Cell lengths 3.1372, 5.7342, 4.4982 Å; angles 90.00, 90.00, 90.00 degrees
Positions (direct):
Br (0.5000, 0.5000, 0.0000)
Br (0.0000, 0.0000, 0.0000)
Ir (0.5000, 0.0000, 0.5000)
As (0.0000, 0.5000, 0.5000)

***

(7)
A geometry-optimized AlSiPb structure, computed with GGA-PBE.

Uncorrected formation energy: 0.21 eV per atom
Magnetization: 0.00 μB/atom
Energy relative to the lowest polymorph listed for this composition: 0.023 eV/atom

Cell lengths 12.4552, 3.6021, 6.1764 Å; angles 90.00, 100.34, 90.00 degrees
Positions (direct):
Si (0.4491, 0.5000, 0.6482)
Al (0.3141, 0.0000, 0.4360)
Al (0.6859, 0.5000, 0.0640)
Pb (0.1231, 0.5000, 0.1993)
Pb (0.1231, 0.0000, 0.6993)
Pb (0.8769, 0.0000, 0.3007)
Si (0.4491, 0.0000, 0.1482)
Si (0.5509, 0.5000, 0.3518)
Si (0.5509, 0.0000, 0.8518)
Pb (0.8769, 0.5000, 0.8007)
Al (0.3141, 0.5000, 0.9360)
Al (0.6859, 0.0000, 0.5640)

***

(8)
A geometry-optimized PrGa2SiOs2 structure, computed with GGA-PBE.

Uncorrected formation energy: -0.16 eV per atom
Magnetization: 0.00 μB/atom

Cell lengths 4.4734, 4.4734, 5.7177 Å; angles 90.00, 90.00, 90.00 degrees
Positions (direct):
Si (0.0000, 0.0000, 0.0000)
Ga (0.5000, 0.5000, 0.2709)
Pr (0.0000, 0.0000, 0.5000)
Os (0.5000, 0.0000, 0.0000)
Os (0.0000, 0.5000, 0.0000)
Ga (0.5000, 0.5000, 0.7291)

***

(9)
A geometry-optimized Ga2BF structure, computed with GGA-PBE.

Uncorrected formation energy: -0.55 eV per atom
Magnetization: 0.00 μB/atom
Energy relative to the lowest polymorph listed for this composition: 0.000 eV/atom

Cell lengths 4.9178, 4.9178, 6.3328 Å; angles 67.15, 67.15, 90.00 degrees
Positions (direct):
F (0.0000, 0.0000, 0.0000)
Ga (0.5628, 0.1250, 0.2500)
F (0.7500, 0.2500, 0.5000)
Ga (0.3750, 0.4372, 0.7500)
Ga (0.8750, 0.8128, 0.7500)
B (0.5000, 0.5000, 0.0000)
Ga (0.1872, 0.6250, 0.2500)
B (0.2500, 0.7500, 0.5000)

***

(10)
A geometry-optimized Y3Tm2Se8 structure, computed with GGA-PBE.

Uncorrected formation energy: -1.70 eV per atom
Magnetization: 0.00 μB/atom

Cell lengths 6.9620, 8.1545, 8.1917 Å; angles 119.85, 106.80, 90.00 degrees
Positions (direct):
Se (0.0744, 0.8795, 0.7589)
Se (0.9256, 0.1205, 0.2411)
Y (0.0000, 0.2613, 0.0000)
Se (0.1006, 0.3809, 0.7618)
Se (0.5852, 0.1155, 0.7500)
Y (0.0000, 0.7387, 0.0000)
Se (0.4148, 0.8845, 0.2500)
Tm (0.3375, 0.2566, 0.5132)
Se (0.8994, 0.6191, 0.2382)
Tm (0.6625, 0.7434, 0.4868)
Y (0.5000, 0.0000, 0.0000)
Se (0.4148, 0.3655, 0.2500)
Se (0.5852, 0.6345, 0.7500)

***

(11)
A geometry-optimized AgBi2IrO8 structure, computed with GGA-PBE.

Uncorrected formation energy: -0.68 eV per atom
Magnetization: 0.07 μB/atom

Cell lengths 4.8936, 4.8572, 7.0648 Å; angles 89.97, 90.02, 91.60 degrees
Site moments in Bohr magnetons follow the coordinates.
Positions (direct):
O (0.8441, 0.2049, 0.7898)  0.05
O (0.1559, 0.7951, 0.2102)  0.05
Bi (0.4999, 0.5001, 0.7506)  0.00
Bi (0.5001, 0.4999, 0.2494)  0.00
O (0.3165, 0.2899, 0.5000)  0.00
Ir (0.0000, 0.0000, 0.0000)  0.40
O (0.6835, 0.7101, 0.5000)  0.00
O (0.3123, 0.2504, 0.0000)  0.05
O (0.1556, 0.7954, 0.7896)  0.05
O (0.8444, 0.2046, 0.2104)  0.05
Ag (0.0000, 0.0000, 0.5000)  0.01
O (0.6877, 0.7496, 0.0000)  0.05

***

(12)
A geometry-optimized Sr2CoPt structure, computed with GGA-PBE.

Magnetization: 0.25 μB/atom
ΔE_f: -283 meV per atom

Cell lengths 4.4107, 4.6416, 5.8670 Å; angles 66.66, 90.00, 90.00 degrees
Site moments in Bohr magnetons follow the coordinates.
Positions (direct):
Pt (0.5000, 0.5799, 0.7149)  0.13
Sr (0.5000, 0.2718, 0.3315)  -0.03
Sr (0.0000, 0.9834, 0.9082)  -0.04
Co (0.0000, 0.6649, 0.5454)  1.17

***

no.,VASP energy (eV/atom)
1,-4.45
2,-6.56
3,-7.01
4,-4.12
5,-3.91
6,-3.37
7,-4.08
8,-6.61
9,-4.20
10,-6.02
11,-5.61
12,-4.41